The following is a PBE-GGA calculation of a relaxed ScFe2Re crystal, from Alexandria via LeMat-Bulk.

As for the theoretical density: 10.34 g/cm³. For the calculated formation energy, the calculation gives 0.025 eV/atom. The total moment comes out at 0.53 μB per atom.

The structure belongs to space group P4/mmm (No. 123); the cell edges are 4.360, 4.360 and 2.896 Å and the angles 90.00°, 90.00° and 90.00°. The inequivalent atoms are Sc at (0.000, 0.000, 0.000), Fe at (0.000, 0.500, 0.500) and Re at (0.500, 0.500, 0.000).